1.
{"formula": "Ho4Tm3Tl", "functional": "PBE", "state": "relaxed", "sg": "No. 31", "formation_energy_ev_per_atom": -0.06, "total_magnetization_mub_per_cell": 0.0, "lattice_angstrom": [[-0.590, -4.243, -4.370], [4.649, -4.012, 3.268], [-8.179, -4.791, 5.756]], "species": ["Ho", "Tm", "Tl", "Tm", "Ho", "Tm", "Tm", "Tm", "Tm", "Ho", "Ho", "Ho", "Ho", "Tl", "Ho", "Ho"], "frac_coords": [[0.492, 0.873, 0.261], [0.139, 0.368, 0.500], [0.150, 0.382, 0.000], [0.971, 0.617, 0.244], [0.166, 0.872, 0.000], [0.639, 0.632, 0.000], [0.471, 0.383, 0.256], [0.471, 0.383, 0.744], [0.971, 0.617, 0.756], [0.992, 0.127, 0.239], [0.992, 0.127, 0.761], [0.634, 0.131, 0.000], [0.666, 0.128, 0.500], [0.650, 0.618, 0.500], [0.134, 0.869, 0.500], [0.492, 0.873, 0.739]]}


2.
{"formula": "KRbLa2Ru", "functional": "PBE", "state": "relaxed", "sg": "No. 123", "formation_energy_ev_per_atom": 0.15, "total_magnetization_mub_per_cell": 0.0, "lattice_angstrom": [[5.445, 0.000, 0.000], [0.000, 5.445, 0.000], [0.000, 0.000, 7.273]], "species": ["Ru", "Rb", "La", "La", "K"], "frac_coords": [[0.000, 0.000, 0.000], [0.500, 0.500, 0.500], [0.000, 0.500, 0.000], [0.500, 0.000, 0.000], [0.000, 0.000, 0.500]]}


3.
{"formula": "LaTm2RuN4", "functional": "PBE", "state": "relaxed", "formation_energy_uncorrected_ev_per_atom": -1.0897, "sg": "No. 63", "total_magnetization_mub_per_cell": 0.0, "lattice_angstrom": [[3.442, 0.000, 0.000], [-1.721, 5.827, 0.000], [0.000, 0.000, 11.503]], "species": ["N", "N", "Ru", "N", "N", "Tm", "N", "Ru", "La", "Tm", "N", "N", "N", "La", "Tm", "Tm"], "frac_coords": [[0.265, 0.529, 0.122], [0.000, 0.000, 0.500], [0.148, 0.296, 0.250], [0.735, 0.471, 0.622], [0.438, 0.876, 0.750], [0.631, 0.262, 0.457], [0.562, 0.124, 0.250], [0.852, 0.704, 0.750], [0.113, 0.226, 0.750], [0.369, 0.738, 0.543], [0.735, 0.471, 0.878], [0.265, 0.529, 0.378], [0.000, 0.000, 0.000], [0.887, 0.774, 0.250], [0.631, 0.262, 0.043], [0.369, 0.738, 0.957]]}


4.
{"formula": "Tb6NdGa3", "functional": "PBE", "state": "relaxed", "sg": "No. 36", "formation_energy_ev_per_atom": -0.30, "total_magnetization_mub_per_cell": 0.0, "lattice_angstrom": [[8.318, 0.000, 0.000], [0.000, 8.346, 0.273], [0.000, -1.596, 8.197]], "species": ["Ga", "Nd", "Tb", "Tb", "Ga", "Ga", "Tb", "Tb", "Tb", "Tb", "Tb", "Tb", "Tb", "Tb", "Ga", "Ga", "Nd", "Tb", "Tb", "Ga"], "frac_coords": [[0.468, 0.283, 0.118], [0.528, 0.670, 0.330], [0.665, 0.265, 0.397], [0.165, 0.735, 0.603], [0.468, 0.882, 0.717], [0.968, 0.118, 0.283], [0.307, 0.058, 0.415], [0.807, 0.415, 0.058], [0.307, 0.585, 0.942], [0.807, 0.942, 0.585], [0.020, 0.775, 0.225], [0.520, 0.225, 0.775], [0.165, 0.397, 0.265], [0.192, 0.033, 0.967], [0.864, 0.569, 0.431], [0.364, 0.431, 0.569], [0.028, 0.330, 0.670], [0.665, 0.603, 0.735], [0.692, 0.967, 0.033], [0.968, 0.717, 0.882]]}


5.
{"formula": "LiDyAs2O6", "functional": "PBE", "state": "relaxed", "formation_energy_uncorrected_ev_per_atom": -1.8577, "sg": "No. 15", "total_magnetization_mub_per_cell": 0.0, "lattice_angstrom": [[6.840, 0.263, 0.273], [2.457, 6.243, 0.631], [2.457, 0.400, 6.263]], "species": ["O", "O", "O", "As", "O", "O", "O", "Dy", "Li", "As", "Li", "Dy", "O", "O", "As", "O", "O", "As", "O", "O"], "frac_coords": [[0.325, 0.182, 0.050], [0.959, 0.237, 0.429], [0.435, 0.819, 0.396], [0.698, 0.271, 0.333], [0.041, 0.763, 0.571], [0.935, 0.396, 0.819], [0.541, 0.571, 0.763], [0.750, 0.169, 0.831], [0.250, 0.223, 0.777], [0.802, 0.667, 0.729], [0.750, 0.777, 0.223], [0.250, 0.831, 0.169], [0.065, 0.604, 0.181], [0.675, 0.818, 0.950], [0.302, 0.729, 0.667], [0.175, 0.950, 0.818], [0.825, 0.050, 0.182], [0.198, 0.333, 0.271], [0.565, 0.181, 0.604], [0.459, 0.429, 0.237]]}


6.
{"formula": "Tl3SiMo", "functional": "PBE", "state": "relaxed", "formation_energy_uncorrected_ev_per_atom": 1.2192, "sg": "No. 221", "de_polymorph_mev_per_atom": 94, "total_magnetization_mub_per_cell": 4.4, "lattice_angstrom": [[-0.195, -5.021, -1.718], [5.186, -0.546, 1.006], [-1.128, -1.641, 4.923]], "species": ["Si", "Mo", "Tl", "Tl", "Tl"], "frac_coords": [[0.000, 0.000, 0.000], [0.500, 0.500, 0.500], [0.000, 0.000, 0.500], [0.000, 0.500, 0.000], [0.500, 0.000, 0.000]]}